No. 1
{"formula": "K2RbEu", "functional": "PBE", "state": "optimized geometry", "cell": [[-2.854, -0.647, 3.187], [-1.703, -3.314, -2.199], [9.204, -8.988, 6.417]], "species": ["Rb", "Eu", "K", "K"], "fractional_positions": [[0.500, 0.500, 0.500], [0.500, 0.500, 0.000], [0.000, 0.000, 0.229], [0.000, 0.000, 0.771]], "formation_energy_ev_per_fu": 0.6, "e_above_lowest_polymorph_mev_per_atom": 0.0, "dos_at_fermi_per_ev_cell": 3.72, "m_tot_mub_per_fu": 7.7, "volume_a3_per_cell": 269.14}

***

No. 2
{"formula": "Ca2Sb4Rh3", "functional": "PBE", "state": "optimized geometry", "cell": [[-4.589, -3.721, -0.984], [3.434, 1.998, -4.482], [4.621, -4.332, 3.515]], "species": ["Ca", "Rh", "Sb", "Sb", "Rh", "Rh", "Sb", "Sb", "Ca"], "fractional_positions": [[0.373, 0.373, 0.747], [0.000, 0.500, 0.000], [0.993, 0.314, 0.307], [0.314, 0.993, 0.307], [0.000, 0.000, 0.000], [0.500, 0.000, 0.000], [0.686, 0.007, 0.693], [0.007, 0.686, 0.693], [0.627, 0.627, 0.253]], "dos_at_fermi_per_ev_cell": 4.24, "m_tot_mub_per_fu": 0.0, "e_form_raw_kj_per_mol_atoms": -60, "volume_a3_per_cell": 202.61}

***

No. 3
{"formula": "YTl2Au", "functional": "PBE", "state": "optimized geometry", "cell": [[-2.567, 2.510, -0.951], [-2.684, -2.384, 0.952], [0.063, 2.603, 6.696]], "species": ["Y", "Tl", "Tl", "Au"], "fractional_positions": [[0.500, 0.500, 0.250], [0.000, 0.000, 0.524], [0.000, 0.000, 0.976], [0.500, 0.500, 0.750]], "formation_energy_ev_per_fu": -0.6, "e_above_lowest_polymorph_mev_per_atom": 185.5, "dos_at_fermi_per_ev_cell": 2.35, "m_tot_mub_per_fu": 0.0, "volume_a3_per_cell": 99.12}

***

No. 4
{"formula": "Ac2Pr2Dy5", "functional": "PBE", "state": "optimized geometry", "cell": [[3.561, 0.000, -0.735], [-0.515, 7.993, -2.497], [0.745, -3.101, 12.614]], "species": ["Dy", "Dy", "Ac", "Ac", "Dy", "Dy", "Dy", "Pr", "Pr"], "fractional_positions": [[0.310, 0.148, 0.619], [0.690, 0.852, 0.381], [0.817, 0.769, 0.633], [0.183, 0.231, 0.367], [0.000, 0.000, 0.000], [0.905, 0.535, 0.811], [0.095, 0.465, 0.189], [0.548, 0.745, 0.096], [0.452, 0.255, 0.904]], "formation_energy_ev_per_fu": 2.0, "dos_at_fermi_per_ev_cell": 12.77, "m_tot_mub_per_fu": 0.0, "volume_a3_per_cell": 334.68}